## ZrZn2Pt (SCAN)

Data for ZrZn2Pt at its PBEsol-relaxed geometry.

Unit cell a=4.4717 b=4.4717 c=4.4717 alpha=60.00 beta=60.00 gamma=60.00
Closest atoms and distances in Å follow each position.
Element x y z (fractional)
Zr1 0.0000 0.0000 0.0000  4 Pt 2.74, 4 Zn 2.74
Zn1 0.2500 0.2500 0.2500  4 Zn 2.74, 4 Zr 2.74
Zn2 0.5000 0.5000 0.5000  4 Pt 2.74, 4 Zn 2.74
Pt1 0.7500 0.7500 0.7500  4 Zr 2.74, 4 Zn 2.74

Summary:
- SG: F-43m (216)
- Uncorrected energy: -130.9 eV/cell

## Na2Cu2Se (SCAN)

Data for Na2Cu2Se at its PBEsol-relaxed geometry.

Unit cell a=6.9122 b=6.9122 c=6.9122 alpha=147.62 beta=147.62 gamma=46.45
Closest atoms and distances in Å follow each position.
Element x y z (fractional)
Na1 0.2500 0.7500 0.5000  4 Na 2.73, 4 Cu 2.82
Na2 0.7500 0.2500 0.5000  4 Na 2.73, 4 Cu 2.82
Cu1 0.0877 0.0877 0.0000  1 Cu 2.23
Cu2 0.9123 0.9123 0.0000  1 Cu 2.23
Se1 0.5000 0.5000 0.0000  8 Cu 2.94

Summary:
- SG: I4/mmm (139)
- ΔE_f (raw): 2.304 eV/f.u.
- Uncorrected energy: -56.6 eV/cell

## CaCr3 (SCAN)

Data for CaCr3 at its PBEsol-relaxed geometry.

Unit cell a=8.5894 b=8.5894 c=8.5894 alpha=18.99 beta=18.99 gamma=18.99
Closest atoms and distances in Å follow each position.
Element x y z (fractional)
Ca1 0.0000 0.0000 0.0000  6 Ca 2.83, 6 Cr 3.03
Cr1 0.2323 0.2323 0.2323  3 Cr 2.33
Cr2 0.5000 0.5000 0.5000  6 Cr 2.33
Cr3 0.7677 0.7677 0.7677  3 Cr 2.33

Summary:
- SG: R-3m (166)
- Uncorrected energy: -61.3 eV/cell

## MgHgRu2 (SCAN)

Data for MgHgRu2 at its PBEsol-relaxed geometry.

Unit cell a=2.7980 b=4.6232 c=4.9167 alpha=90.00 beta=94.18 gamma=90.00
Closest atoms and distances in Å follow each position.
Element x y z (fractional)
Mg1 0.0000 0.0000 0.0000  4 Ru 2.68, 4 Hg 2.74-2.92, 2 Mg 2.80
Hg1 0.5000 0.0000 0.5000  4 Mg 2.74-2.92, 4 Ru 2.79, 2 Hg 2.80
Ru1 0.2491 0.5000 0.7756  4 Ru 2.53-2.80, 2 Mg 2.68, 2 Hg 2.79
Ru2 0.7509 0.5000 0.2244  4 Ru 2.53-2.80, 2 Mg 2.68, 2 Hg 2.79

Summary:
- SG: P2/m (10)
- Uncorrected energy: -141.5 eV/cell

## RuRh2Cl (SCAN)

Data for RuRh2Cl at its PBEsol-relaxed geometry.

Unit cell a=2.7659 b=2.7659 c=8.6521 alpha=90.00 beta=90.00 gamma=121.50
Closest atoms and distances in Å follow each position.
Element x y z (fractional)
Ru1 0.0000 0.0000 0.0000  2 Cl 2.43, 2 Rh 2.59, 2 Ru 2.70
Rh1 0.0000 0.0000 0.4844  2 Cl 2.56, 8 Rh 2.62-2.77
Rh2 0.5000 0.5000 0.7441  2 Ru 2.59, 8 Rh 2.62-2.77
Cl1 0.5000 0.5000 0.2330  2 Ru 2.43, 2 Rh 2.56, 2 Cl 2.70

Summary:
- SG: Cmm2 (35)
- ΔE_f (raw): 2.228 eV/f.u.
- Relative energy among the computed polymorphs: 234.2 meV/atom
- Uncorrected energy: -108.1 eV/cell

## CaCu2Ag2 (SCAN)

Data for CaCu2Ag2 at its PBEsol-relaxed geometry.

Unit cell a=6.2509 b=6.2509 c=6.2509 alpha=142.33 beta=142.33 gamma=54.33
Closest atoms and distances in Å follow each position.
Element x y z (fractional)
Ca1 0.0000 0.0000 0.0000  8 Cu 3.08, 8 Ag 3.44
Cu1 0.3963 0.3963 0.0000  1 Cu 2.31
Cu2 0.6037 0.6037 0.0000  1 Cu 2.31
Ag1 0.2500 0.7500 0.5000  4 Cu 2.59, 4 Ag 2.85
Ag2 0.7500 0.2500 0.5000  4 Cu 2.59, 4 Ag 2.85

Summary:
- SG: I4/mmm (139)
- Uncorrected energy: -103.1 eV/cell

## RuPtS2 (SCAN)

Data for RuPtS2 at its PBEsol-relaxed geometry.

Unit cell a=6.3925 b=6.3925 c=6.3925 alpha=131.39 beta=131.39 gamma=71.19
Closest atoms and distances in Å follow each position.
Element x y z (fractional)
Ru1 0.0000 0.0000 0.0000  4 S 2.22
Ru2 0.7500 0.2500 0.5000  4 S 2.22
Pt1 0.2500 0.7500 0.5000  4 S 2.32
Pt2 0.5000 0.5000 0.0000  4 S 2.32
S1 0.1089 0.6250 0.9839  2 Ru 2.22, 2 Pt 2.32
S2 0.3750 0.3589 0.4839  2 Ru 2.22, 2 Pt 2.32
S3 0.6411 0.1250 0.0161  2 Ru 2.22, 2 Pt 2.32
S4 0.8750 0.8911 0.5161  2 Ru 2.22, 2 Pt 2.32

Summary:
- SG: I-42d (122)
- ΔE_f (raw): -0.504 eV/f.u.
- Relative energy among the computed polymorphs: 48.7 meV/atom
- Uncorrected energy: -249.6 eV/cell

## FeRhSe2 (SCAN)

Data for FeRhSe2 at its PBEsol-relaxed geometry.

Unit cell a=3.3138 b=3.3138 c=6.0081 alpha=90.00 beta=90.00 gamma=90.00
Closest atoms and distances in Å follow each position.
Element x y z (fractional)
Fe1 0.0000 0.0000 0.0000  5 Se 2.36-2.52
Rh1 0.5000 0.5000 0.2449  5 Se 2.39-2.50
Se1 0.0000 0.0000 0.3920  1 Fe 2.36, 4 Rh 2.50
Se2 0.5000 0.5000 0.8465  1 Rh 2.39, 4 Fe 2.52

Summary:
- SG: P4mm (99)
- ΔE_f (raw): -0.718 eV/f.u.
- Uncorrected energy: -92.8 eV/cell

DOS(E_F) across the listed records, respectively: 0.45 0.50 0.98 0.55 1.17 0.35 0.64 0.58 states/eV/atom.
Total magnetization across the listed records, respectively: 0.00 0.00 3.16 1.87 0.00 0.00 0.00 2.62 μB/f.u..